Computed, not measured: LaPmGaSi after structural relaxation at the PBE-GGA level of DFT.

Values from the calculation:
offset from the most stable computed form: 200 meV/atom
formation energy (no corrections): -0.50 eV per atom
density of states at the Fermi level: 9.54 states/eV per cell
theoretical density: 6.31 g cm⁻³
magnetization: 0.0 μB/f.u.

Lattice parameters (Å, degrees): 7.379 7.379 7.379 90.00 90.00 90.00
Space group F-43m (No. 216)
One atom of each set of equivalent atoms:
La 0.000 0.000 0.000 (multiplicity 4)
Pm 0.000 0.000 0.500 (multiplicity 4)
Ga 0.250 0.250 0.250 (multiplicity 4)
Si 0.250 0.250 0.750 (multiplicity 4)


Computed, not measured: MgGaPt after structural relaxation at the PBE-GGA level of DFT.

Values from the calculation:
density of states at the Fermi level: 0.90 states/eV per cell
theoretical density: 9.56 g cm⁻³
magnetization: 0.0 μB/f.u.
ΔH_f (0 K): -662 meV per atom

Lattice parameters (Å, degrees): 4.3913 4.3913 3.0086 90.00 90.00 120.00
Space group P-6m2 (No. 187)
One atom of each set of equivalent atoms:
Mg 0.0000 0.0000 0.0000 (multiplicity 1)
Ga 0.6667 0.3333 0.5000 (multiplicity 1)
Pt 0.3333 0.6667 0.5000 (multiplicity 1)